Entry P
The following is a DFT calculation (PBE with a Hubbard U) of a geometry-optimized VAsBr2O structure.

The structure in POSCAR format:
```
VAsBr2O
1.0
4.815 0.000 0.000
0.000 4.815 0.000
0.000 0.000 4.947
V As Br O
1 1 2 1
Cartesian
0.000 0.000 0.000
0.000 0.000 2.474
0.000 2.408 0.000
2.408 0.000 0.000
2.408 2.408 2.474
```

Summary:
D(E_F) ... 1.812 states/eV/atom
Spin magnetization ... 0.25 μB/cell



Entry Q
The following is a DFT calculation (PBE with a Hubbard U) of a geometry-optimized VAsBr2O structure.

The structure in POSCAR format:
```
VAsBr2O
1.0
3.725 0.000 0.000
0.000 5.100 0.000
0.000 0.000 6.321
V As Br O
1 1 2 1
Cartesian
0.000 0.000 0.000
1.863 0.000 3.161
1.863 2.550 0.000
1.863 2.550 3.161
0.000 2.550 3.161
```

Summary:
D(E_F) ... 0.541 states/eV/atom
Spin magnetization ... 2.95 μB/cell



Least stable of them? entry P.